Entry 1:
{
  "formula": "KCaCo2Se",
  "functional": "PBE",
  "state": "relaxed",
  "space_group": "P4/mmm (123)",
  "total_magnetization_mub_per_fu": 3.0,
  "formation_energy_uncorrected_ev_per_atom": 1.27,
  "dos_ef_per_ev_atom": 1.36,
  "vol_a3_per_cell": 141.0,
  "final_energy_ev_per_atom": -2.887,
  "lattice": [[4.8312, 0.0000, 0.0000], [0.0000, 6.0402, 0.0000], [0.0000, 0.0000, 4.8312]],
  "species": ["Ca", "Co", "Co", "K", "Se"],
  "frac_coords": [[0.0000, 0.0000, 0.0000], [0.0000, 0.0000, 0.5000], [0.5000, 0.0000, 0.0000], [0.0000, 0.5000, 0.0000], [0.5000, 0.5000, 0.5000]]
}

Entry 2:
{
  "formula": "KSrCa2Co",
  "functional": "PBE",
  "state": "relaxed",
  "space_group": "P4/mmm (123)",
  "total_magnetization_mub_per_fu": 0.1,
  "delta_e_f_ev_per_atom": 0.22,
  "dos_ef_per_ev_atom": 1.08,
  "vol_a3_per_cell": 192.4,
  "final_energy_ev_per_atom": -2.557,
  "lattice": [[5.6877, 0.0000, 0.0000], [0.0000, 5.6877, 0.0000], [0.0000, 0.0000, 5.9461]],
  "species": ["Sr", "Ca", "Ca", "Co", "K"],
  "frac_coords": [[0.0000, 0.0000, 0.5000], [0.0000, 0.5000, 0.0000], [0.5000, 0.0000, 0.0000], [0.0000, 0.0000, 0.0000], [0.5000, 0.5000, 0.5000]]
}

Entry 3:
{
  "formula": "CaLa3Co",
  "functional": "PBE",
  "state": "relaxed",
  "space_group": "Pm-3m (221)",
  "total_magnetization_mub_per_fu": 0.0,
  "delta_e_f_ev_per_atom": -0.05,
  "dos_ef_per_ev_atom": 1.47,
  "vol_a3_per_cell": 172.1,
  "final_energy_ev_per_atom": -4.825,
  "lattice": [[-3.3944, 4.0212, 1.8017], [-4.3979, -3.2326, -1.0709], [0.2729, -2.0781, 5.1522]],
  "species": ["Ca", "Co", "La", "La", "La"],
  "frac_coords": [[0.5000, 0.5000, 0.5000], [0.0000, 0.0000, 0.0000], [0.0000, 0.5000, 0.0000], [0.0000, 0.0000, 0.5000], [0.5000, 0.0000, 0.0000]]
}

Entry 4:
{
  "formula": "CaLa8Co2",
  "functional": "PBE",
  "state": "relaxed",
  "space_group": "C2/m (12)",
  "total_magnetization_mub_per_fu": 0.0,
  "delta_e_f_ev_per_atom": 0.03,
  "dos_ef_per_ev_atom": 1.15,
  "vol_a3_per_cell": 380.6,
  "final_energy_ev_per_atom": -5.030,
  "lattice": [[-7.1990, 1.6139, -0.4073], [0.9648, -3.0210, 6.9511], [2.8982, 5.0878, 4.9082]],
  "species": ["Ca", "La", "La", "La", "La", "La", "La", "La", "La", "Co", "Co"],
  "frac_coords": [[0.0000, 0.0000, 0.0000], [0.3193, 0.4159, 0.8090], [0.6807, 0.1910, 0.5841], [0.3312, 0.8690, 0.8690], [0.6688, 0.1310, 0.1310], [0.3193, 0.8090, 0.4159], [0.6807, 0.5841, 0.1910], [0.8253, 0.6801, 0.6801], [0.1747, 0.3199, 0.3199], [0.6120, 0.8017, 0.8017], [0.3880, 0.1983, 0.1983]]
}

Entry 5:
{
  "formula": "CaLa3Co",
  "functional": "PBE",
  "state": "relaxed",
  "space_group": "Pm-3m (221)",
  "total_magnetization_mub_per_fu": 1.8,
  "delta_e_f_ev_per_atom": 1.36,
  "dos_ef_per_ev_atom": 2.58,
  "vol_a3_per_cell": 189.6,
  "final_energy_ev_per_atom": -3.414,
  "lattice": [[5.7452, 0.0000, 0.0000], [0.0000, 5.7452, 0.0000], [0.0000, 0.0000, 5.7452]],
  "species": ["Ca", "Co", "La", "La", "La"],
  "frac_coords": [[0.0000, 0.0000, 0.0000], [0.5000, 0.5000, 0.5000], [0.0000, 0.5000, 0.0000], [0.0000, 0.0000, 0.5000], [0.5000, 0.0000, 0.0000]]
}

Entry 6:
{
  "formula": "Ca3La4Co2",
  "functional": "PBE",
  "state": "relaxed",
  "space_group": "C2/m (12)",
  "total_magnetization_mub_per_fu": 0.0,
  "delta_e_f_ev_per_atom": -0.03,
  "dos_ef_per_ev_atom": 1.21,
  "vol_a3_per_cell": 317.1,
  "final_energy_ev_per_atom": -4.464,
  "lattice": [[3.9302, 0.0000, 0.0000], [-1.9651, 9.0168, -4.0311], [0.0000, -1.4276, 9.5875]],
  "species": ["Ca", "Ca", "Ca", "La", "La", "La", "La", "Co", "Co"],
  "frac_coords": [[0.3586, 0.7172, 0.5446], [0.0000, 0.0000, 0.0000], [0.6414, 0.2828, 0.4554], [0.7099, 0.4199, 0.1197], [0.0773, 0.1545, 0.7175], [0.9227, 0.8455, 0.2825], [0.2901, 0.5801, 0.8803], [0.3221, 0.6442, 0.2124], [0.6779, 0.3558, 0.7876]]
}

Entry 7:
{
  "formula": "CaLa4Co",
  "functional": "PBE",
  "state": "relaxed",
  "space_group": "P2_1/m (11)",
  "total_magnetization_mub_per_fu": 0.0,
  "delta_e_f_ev_per_atom": -0.02,
  "dos_ef_per_ev_atom": 1.38,
  "vol_a3_per_cell": 414.1,
  "final_energy_ev_per_atom": -4.821,
  "lattice": [[-5.1163, 3.3443, 0.9338], [-0.9273, -3.2185, 6.4464], [6.7626, 5.4656, 3.7016]],
  "species": ["Ca", "Ca", "La", "La", "La", "La", "La", "La", "La", "La", "Co", "Co"],
  "frac_coords": [[0.2868, 0.7500, 0.5571], [0.7132, 0.2500, 0.4429], [0.7063, 0.7500, 0.3041], [0.2937, 0.2500, 0.6959], [0.3936, 0.7500, 0.9461], [0.6064, 0.2500, 0.0539], [0.1342, 0.0092, 0.1934], [0.8658, 0.5092, 0.8066], [0.1342, 0.4908, 0.1934], [0.8658, 0.9908, 0.8066], [0.8470, 0.7500, 0.0392], [0.1530, 0.2500, 0.9608]]
}

Entry 8:
{
  "formula": "CaLa3Co",
  "functional": "PBE",
  "state": "relaxed",
  "space_group": "C2/m (12)",
  "total_magnetization_mub_per_fu": 0.0,
  "delta_e_f_ev_per_atom": -0.03,
  "dos_ef_per_ev_atom": 1.52,
  "vol_a3_per_cell": 348.7,
  "final_energy_ev_per_atom": -4.810,
  "lattice": [[5.5268, 0.0000, 1.5694], [2.5169, 6.1831, 1.6528], [0.0779, 0.0958, 10.2418]],
  "species": ["Ca", "Ca", "La", "La", "La", "La", "La", "La", "Co", "Co"],
  "frac_coords": [[0.3765, 0.8067, 0.4404], [0.6235, 0.1933, 0.5596], [0.8730, 0.5666, 0.6873], [0.1270, 0.4334, 0.3127], [0.6285, 0.6792, 0.0638], [0.3715, 0.3208, 0.9362], [0.8812, 0.0550, 0.1826], [0.1188, 0.9450, 0.8174], [0.1196, 0.6833, 0.0776], [0.8804, 0.3167, 0.9224]]
}

Entry 9:
{
  "formula": "CaLa6Co2",
  "functional": "PBE",
  "state": "relaxed",
  "space_group": "Immm (71)",
  "total_magnetization_mub_per_fu": 0.0,
  "delta_e_f_ev_per_atom": -0.05,
  "dos_ef_per_ev_atom": 0.98,
  "vol_a3_per_cell": 560.7,
  "final_energy_ev_per_atom": -5.136,
  "lattice": [[8.6242, 0.4235, -2.5878], [-4.9250, 7.1223, -2.5038], [0.2040, -0.4235, 9.0017]],
  "species": ["Ca", "Ca", "La", "La", "La", "La", "La", "La", "La", "La", "La", "La", "La", "La", "Co", "Co", "Co", "Co"],
  "frac_coords": [[0.0000, 0.5000, 0.5000], [0.0000, 0.0000, 0.0000], [0.4783, 0.3026, 0.1758], [0.5217, 0.6974, 0.8242], [0.8732, 0.6974, 0.1758], [0.1268, 0.3026, 0.8242], [0.2193, 0.7746, 0.9939], [0.7807, 0.2254, 0.0061], [0.7807, 0.7746, 0.5552], [0.2193, 0.2254, 0.4448], [0.3233, 0.9997, 0.6764], [0.6767, 0.0003, 0.3236], [0.6767, 0.3530, 0.6764], [0.3233, 0.6470, 0.3236], [0.5000, 0.3609, 0.8609], [0.5000, 0.6391, 0.1391], [0.2826, 0.0000, 0.2826], [0.7174, 0.0000, 0.7174]]
}

Entry 10:
{
  "formula": "CaLa4Co",
  "functional": "PBE",
  "state": "relaxed",
  "space_group": "F-43m (216)",
  "total_magnetization_mub_per_fu": 1.3,
  "delta_e_f_ev_per_atom": 0.66,
  "dos_ef_per_ev_atom": 1.94,
  "vol_a3_per_cell": 202.9,
  "final_energy_ev_per_atom": -4.145,
  "lattice": [[0.0000, 4.6641, 4.6641], [4.6641, 0.0000, 4.6641], [4.6641, 4.6641, 0.0000]],
  "species": ["Ca", "La", "La", "La", "La", "Co"],
  "frac_coords": [[0.7500, 0.7500, 0.7500], [0.8818, 0.3727, 0.3727], [0.3727, 0.3727, 0.8818], [0.3727, 0.8818, 0.3727], [0.3727, 0.3727, 0.3727], [0.0000, 0.0000, 0.0000]]
}

Entry 11:
{
  "formula": "CaLa8Co2",
  "functional": "PBE",
  "state": "relaxed",
  "space_group": "C2/m (12)",
  "total_magnetization_mub_per_fu": 0.0,
  "delta_e_f_ev_per_atom": -0.03,
  "dos_ef_per_ev_atom": 1.15,
  "vol_a3_per_cell": 360.2,
  "final_energy_ev_per_atom": -5.084,
  "lattice": [[-0.9546, 0.2378, -6.4967], [6.8548, 2.1033, -0.9302], [-1.3654, -8.2788, -0.6814]],
  "species": ["Ca", "La", "La", "La", "La", "La", "La", "La", "La", "Co", "Co"],
  "frac_coords": [[0.0000, 0.0000, 0.0000], [0.5866, 0.8935, 0.2646], [0.4134, 0.6289, 0.7354], [0.8938, 0.7781, 0.5563], [0.1062, 0.2219, 0.4437], [0.5866, 0.3711, 0.2646], [0.4134, 0.1065, 0.7354], [0.1753, 0.5771, 0.1541], [0.8247, 0.4229, 0.8459], [0.3329, 0.7299, 0.4599], [0.6671, 0.2701, 0.5401]]
}

Entry 12:
{
  "formula": "CaLaCo4",
  "functional": "PBE",
  "state": "relaxed",
  "space_group": "F-43m (216)",
  "total_magnetization_mub_per_fu": 4.2,
  "delta_e_f_ev_per_atom": 0.04,
  "dos_ef_per_ev_atom": 1.94,
  "vol_a3_per_cell": 96.9,
  "final_energy_ev_per_atom": -5.851,
  "lattice": [[-0.8863, -2.4111, -4.4708], [0.6316, -5.1058, -0.3450], [-4.1067, -3.0778, -0.4994]],
  "species": ["Ca", "Co", "Co", "Co", "Co", "La"],
  "frac_coords": [[0.0000, 0.0000, 0.0000], [0.1250, 0.6250, 0.6250], [0.6250, 0.6250, 0.6250], [0.6250, 0.1250, 0.6250], [0.6250, 0.6250, 0.1250], [0.2500, 0.2500, 0.2500]]
}